Compound: La2Nd5ErTh
Source: Alexandria via LeMat-Bulk
Functional: PBE-GGA
Structure: relaxed

Values from the calculation:
**Magnetization**: 0.000 μB per formula unit
**Formation energy**: 1.3 eV/f.u.

Cell and atoms, written as POSCAR:
```
La2Nd5ErTh
1.0
-5.225 2.071 -1.163
-1.538 -10.344 2.650
-1.174 2.804 10.264
Nd La Er Th
10 4 2 2
direct
0.985 0.971 0.517
0.292 0.584 0.704
0.708 0.416 0.204
0.485 0.970 0.745
0.382 0.764 0.022
0.275 0.549 0.314
0.725 0.451 0.814
0.015 0.029 0.017
0.515 0.030 0.245
0.618 0.236 0.522
0.116 0.231 0.311
0.115 0.230 0.734
0.885 0.770 0.234
0.884 0.769 0.811
0.403 0.807 0.465
0.597 0.193 0.965
0.199 0.397 0.011
0.801 0.603 0.511
```